Ti8Sb3H2, relaxed, DFT PBE; final energy = -87.34 eV per cell; calculated volume = 16.07 Å³ per atom; ρ = 5.96 Mg/m³
1.0
2.793 1.613 7.730
-2.793 1.613 7.730
0.000 -3.225 7.730
Ti Sb H
8 3 2
Cartesian
0.000 0.000 4.204
0.000 -1.648 9.228
-1.428 0.824 9.228
-1.428 -0.824 13.963
1.428 0.824 9.228
1.428 -0.824 13.963
0.000 1.648 13.963
0.000 0.000 18.986
0.000 0.000 6.926
0.000 0.000 11.595
0.000 0.000 16.264
0.000 0.000 2.408
0.000 0.000 20.783

LiLuGa2, relaxed, DFT PBE; formation energy from the elements = -0.4440 eV/atom; calculated volume = 19.24 Å³ per atom; ρ = 6.94 Mg/m³
1.0
4.625 0.000 0.000
0.000 4.625 0.000
0.000 0.000 3.597
Li Lu Ga
1 1 2
Cartesian
0.000 0.000 0.000
2.313 2.313 0.000
0.000 2.313 1.798
2.313 0.000 1.798

Tc2P2Pd, relaxed, DFT PBE; energy above the most stable polymorph in this dataset = 0.000 eV per atom; formation energy from the elements = -0.3297 eV/atom; calculated volume = 13.61 Å³ per atom; ρ = 8.89 Mg/m³
1.0
6.868 0.000 0.000
0.000 6.868 0.000
0.000 0.000 2.885
Tc P Pd
4 4 2
Cartesian
1.013 2.420 0.000
2.420 5.854 0.000
4.447 1.013 0.000
5.854 4.447 0.000
1.022 4.456 1.442
2.412 1.022 1.442
4.456 5.846 1.442
5.846 2.412 1.442
0.000 0.000 1.442
3.434 3.434 1.442

TiHgI2N, relaxed, DFT PBE; energy above the most stable polymorph in this dataset = 0.000 eV per atom; calculated volume = 25.80 Å³ per atom; ρ = 6.65 Mg/m³
1.0
5.839 0.000 0.000
0.000 5.839 0.000
0.000 0.000 3.783
Ti Hg I N
1 1 2 1
Cartesian
0.000 0.000 0.000
2.920 2.920 1.891
0.000 2.920 0.000
2.920 0.000 0.000
0.000 0.000 1.891

SmZnInPd3, relaxed, DFT PBE; formation energy from the elements = -0.4869 eV/atom; calculated volume = 19.51 Å³ per atom; ρ = 9.22 Mg/m³
1.0
2.870 -7.069 0.000
2.870 7.069 0.000
0.000 0.000 5.772
Sm Zn In Pd
2 2 2 6
Cartesian
2.870 4.880 4.329
2.870 -4.880 1.443
2.870 5.297 1.443
2.870 -5.297 4.329
2.870 1.821 4.329
2.870 -1.821 1.443
1.432 0.000 0.000
1.432 0.000 2.886
2.870 2.613 1.443
2.870 -2.613 4.329
4.307 0.000 0.000
4.307 0.000 2.886

AcZnInSb, relaxed, DFT PBE; final energy = -13.48 eV per cell; calculated volume = 29.23 Å³ per atom; ρ = 7.51 Mg/m³
1.0
0.000 3.881 3.881
3.881 0.000 3.881
3.881 3.881 0.000
Ac Zn In Sb
1 1 1 1
Cartesian
0.000 0.000 0.000
1.940 1.940 1.940
3.881 3.881 3.881
5.821 5.821 5.821

KBaSc2I, relaxed, DFT PBE; energy above the most stable polymorph in this dataset = 0.000 eV per atom; calculated volume = 41.38 Å³ per atom; ρ = 3.16 Mg/m³
1.0
5.666 0.000 0.000
0.000 5.666 0.000
0.000 0.000 6.446
K Ba Sc I
1 1 2 1
Cartesian
0.000 0.000 0.000
2.833 2.833 0.000
0.000 2.833 3.223
2.833 0.000 3.223
0.000 0.000 3.223

HOsBrCl6, relaxed, DFT PBE; final energy = -30.22 eV per cell; calculated volume = 30.16 Å³ per atom; ρ = 2.96 Mg/m³
1.0
6.188 0.000 0.000
3.090 5.828 0.000
0.804 0.030 7.527
H Os Br Cl
1 1 1 6
Cartesian
0.000 0.000 0.000
6.186 5.814 0.006
3.498 1.598 3.763
4.125 5.831 1.186
3.049 1.742 6.181
3.948 1.722 1.346
6.200 4.281 6.072
6.980 4.264 1.479
9.053 5.852 6.350

- Which of these has the lowest calculated volume?
  Tc2P2Pd